AlMoCl2 | the Alexandria database | SCAN | single point on PBEsol structure; relative energy among the computed polymorphs = 551 meV per atom; density of states at the Fermi level = 0.5910 states/eV per atom; magnetization = 1.07 μB per formula unit
1.0
-2.0125 0.3884 2.1385
0.1144 -2.8915 0.6328
6.0732 1.4341 5.4551
Cl Al Mo
2 1 1
Cartesian
4.9865 1.1775 4.4790 Cl
1.0867 0.2566 0.9761 Cl
2.0875 -0.5345 4.1132 Al
-0.9491 -1.2516 1.3856 Mo

---

AlMoCl2 | the Alexandria database | SCAN | single point on PBEsol structure; relative energy among the computed polymorphs = 0 meV per atom; density of states at the Fermi level = 0.3623 states/eV per atom; magnetization = 1.02 μB per formula unit
1.0
2.9567 0.0000 0.0000
-1.4784 4.7515 -0.0165
0.0000 -1.7695 6.3362
Mo Cl Al
1 2 1
Cartesian
1.4784 -0.0839 2.5525 Mo
1.4784 4.2570 0.5241 Cl
0.0000 0.2194 4.3832 Cl
1.4784 2.4563 2.0117 Al

---

AlMoCl | the Alexandria database | SCAN | single point on PBEsol structure; density of states at the Fermi level = 0.7322 states/eV per atom; calculated total energy = -16.66 eV per atom; magnetization = 0.18 μB per formula unit
1.0
2.9547 0.0000 0.0000
0.0000 2.9547 0.0000
-1.4773 -1.4773 5.7390
Mo Al Cl
1 1 1
Cartesian
0.0000 0.0000 3.7739 Mo
1.4773 1.4773 5.4351 Al
1.4773 1.4773 2.2691 Cl

---

AlMoCl3 | the Alexandria database | SCAN | single point on PBEsol structure; density of states at the Fermi level = 0.2165 states/eV per atom; calculated total energy = -13.42 eV per atom; magnetization = 5.28 μB per formula unit
1.0
-0.7089 -4.5062 1.5082
3.6301 0.4704 3.1119
-3.0664 1.5987 3.3353
Al Mo Cl
1 1 3
Cartesian
0.0000 0.0000 0.0000 Al
-0.0727 -1.2185 3.9777 Mo
1.8150 0.2352 1.5560 Cl
-1.5332 0.7994 1.6676 Cl
-0.3545 -2.2531 0.7541 Cl

---

AlMoS2Cl | the Alexandria database | SCAN | single point on PBEsol structure; density of states at the Fermi level = 0.4328 states/eV per atom; calculated total energy = -14.09 eV per atom; magnetization = 0.00 μB per formula unit
1.0
4.6010 0.0000 0.0000
0.0000 4.6010 0.0000
0.0000 0.0000 4.9483
Al S Cl Mo
1 2 1 1
Cartesian
2.3005 2.3005 2.4741 Al
2.3005 0.0000 0.0000 S
0.0000 2.3005 0.0000 S
0.0000 0.0000 2.4741 Cl
0.0000 0.0000 0.0000 Mo

---

AlN2Cl | the Alexandria database | SCAN | single point on PBEsol structure; relative energy among the computed polymorphs = 1212 meV per atom; density of states at the Fermi level = 0.8851 states/eV per atom; magnetization = 0.00 μB per formula unit
1.0
-1.0010 -2.7098 -2.5957
-0.6856 -3.6421 1.1612
-3.6211 -1.4031 -0.0442
Al N Cl
1 2 1
Cartesian
0.0000 0.0000 0.0000 Al
-1.3269 -1.9388 -0.3697 N
-3.9807 -5.8163 -1.1090 N
-2.6538 -3.8775 -0.7394 Cl

---

AlN2Cl | the Alexandria database | SCAN | single point on PBEsol structure; relative energy among the computed polymorphs = 0 meV per atom; density of states at the Fermi level = 0.4874 states/eV per atom; magnetization = 0.00 μB per formula unit
1.0
4.0089 0.0000 0.0000
0.0000 4.0089 0.0000
-2.0045 -2.0045 6.3959
Cl N Al
2 4 2
Cartesian
0.0000 0.0000 0.0000 Cl
0.0000 2.0045 3.1980 Cl
2.0045 3.0067 1.5990 N
-1.0022 0.0000 4.7969 N
1.0022 0.0000 4.7969 N
2.0045 1.0022 1.5990 N
2.0045 0.0000 3.1980 Al
2.0045 2.0045 0.0000 Al

---

AlN2Cl | the Alexandria database | SCAN | single point on PBEsol structure; relative energy among the computed polymorphs = 1051 meV per atom; density of states at the Fermi level = 0.2162 states/eV per atom; magnetization = 0.00 μB per formula unit
1.0
3.0422 0.0000 0.0000
1.5211 2.6346 0.0000
1.5211 0.8782 6.0278
Cl Al N
1 1 2
Cartesian
3.0422 1.7564 3.0139 Cl
0.0000 0.0000 0.0000 Al
4.5633 2.6346 1.9022 N
1.5211 0.8782 4.1256 N

---

> Look up the magnetization of the first one.

1.07 μB per formula unit

---

> The highest density of states at the Fermi level belongs to which entry?

number 6

---

> density of states at the Fermi level of number 8 (AlN2Cl)?

0.2162 states/eV per atom

---

> What is the magnetization in the sixth record?

0.00 μB per formula unit